1.
# BeTl2Ni, optimized geometry, DFT PBE
data_BeTl2Ni
_chemical_formula_sum 'Be4 Tl8 Ni4'
_cell_length_a 6.771
_cell_length_b 6.771
_cell_length_c 6.771
_cell_angle_alpha 90.00
_cell_angle_beta 90.00
_cell_angle_gamma 90.00
_space_group_name_H-M_alt 'F -4 3 m'
_space_group_IT_number 216
_space_group_name_Hall 'F -4 2 3'
loop_
_atom_site_label
_atom_site_fract_x
_atom_site_fract_y
_atom_site_fract_z
Be1 0.000 0.000 0.000
Tl1 0.000 0.000 0.500
Tl2 0.250 0.250 0.750
Ni1 0.250 0.250 0.250
# Crystal system: cubic
# Raw total energy (eV per formula unit): -11.0

***

2.
# BeTlNiW, optimized geometry, DFT PBE
data_BeTlNiW
_chemical_formula_sum 'Be4 Tl4 Ni4 W4'
_cell_length_a 6.129
_cell_length_b 6.129
_cell_length_c 6.129
_cell_angle_alpha 90.00
_cell_angle_beta 90.00
_cell_angle_gamma 90.00
_space_group_name_H-M_alt 'F -4 3 m'
_space_group_IT_number 216
_space_group_name_Hall 'F -4 2 3'
loop_
_atom_site_label
_atom_site_fract_x
_atom_site_fract_y
_atom_site_fract_z
Be1 0.000 0.000 0.000
Tl1 0.250 0.250 0.250
Ni1 0.000 0.000 0.500
W1 0.250 0.250 0.750
# Crystal system: cubic
# Raw total energy (eV per formula unit): -21.7

***

3.
# BeTlZnNi, optimized geometry, DFT PBE
data_BeTlZnNi
_chemical_formula_sum 'Be4 Tl4 Zn4 Ni4'
_cell_length_a 6.109
_cell_length_b 6.109
_cell_length_c 6.109
_cell_angle_alpha 90.00
_cell_angle_beta 90.00
_cell_angle_gamma 90.00
_space_group_name_H-M_alt 'F -4 3 m'
_space_group_IT_number 216
_space_group_name_Hall 'F -4 2 3'
loop_
_atom_site_label
_atom_site_fract_x
_atom_site_fract_y
_atom_site_fract_z
Be1 0.000 0.000 0.000
Tl1 0.250 0.250 0.250
Zn1 0.250 0.250 0.750
Ni1 0.000 0.000 0.500
# Crystal system: cubic
# Raw total energy (eV per formula unit): -11.6

***

Total moment across the listed records, respectively: 0.000, 1.653, 0.005 μB per formula unit.